10
Lattice="7.6917 0.0000 0.0000 0.0000 3.8810 0.0000 -2.9749 0.0000 8.8281" Properties=species:S:1:pos:R:3 comment="RbHfHSe2 | Alexandria via LeMat-Bulk | GGA-PBE | relaxed" m_tot_mub_per_cell=0.00 e_above_lowest_polymorph_mev_per_atom=0 spacegroup=P2_1/m pbc="T T T"
Rb 0.4103 0.9703 2.6165
Rb 4.3066 2.9108 6.2116
Hf 0.1858 0.9703 7.2954
Hf 4.5311 2.9108 1.5328
H -1.6449 0.9703 6.8084
H 6.3618 2.9108 2.0197
Se 2.1982 2.9108 0.1552
Se 0.7005 2.9108 5.6016
Se 4.0164 0.9703 3.2266
Se 2.5187 0.9703 8.6729

5
Lattice="5.9662 0.0000 0.0000 0.0000 5.9662 0.0000 0.0000 0.0000 4.1601" Properties=species:S:1:pos:R:3 comment="RbSrHf2H | Alexandria via LeMat-Bulk | GGA-PBE | relaxed" m_tot_mub_per_cell=1.00 n_ef_per_ev_cell=6.05 dft_energy_ev_per_atom=-3.2954 spacegroup=P4/mmm pbc="T T T"
Rb 0.0000 0.0000 0.0000
Sr 2.9831 2.9831 2.0801
Hf 0.0000 2.9831 0.0000
Hf 2.9831 0.0000 0.0000
H 0.0000 0.0000 2.0801

10
Lattice="7.7921 0.0000 0.0000 0.0000 4.1251 0.0000 -3.0886 0.0000 9.5405" Properties=species:S:1:pos:R:3 comment="RbHfTe2H | Alexandria via LeMat-Bulk | GGA-PBE | relaxed" m_tot_mub_per_cell=0.00 dft_energy_ev_per_atom=-4.8700 spacegroup=P2_1/m pbc="T T T"
Rb 0.2495 1.0313 2.8912
Rb 4.4540 3.0938 6.6492
Hf 0.1024 1.0313 7.9369
Hf 4.6010 3.0938 1.6036
Te 2.0570 3.0938 0.1705
Te 0.6522 3.0938 6.0516
Te 4.0513 1.0313 3.4889
Te 2.6465 1.0313 9.3700
H -1.7115 1.0313 7.3986
H 6.4149 3.0938 2.1419

5
Lattice="4.8146 0.0000 0.0000 0.0000 4.8146 0.0000 0.0000 0.0000 4.8146" Properties=species:S:1:pos:R:3 comment="HfRe3H | Alexandria via LeMat-Bulk | GGA-PBE | relaxed" m_tot_mub_per_cell=2.37 e_above_lowest_polymorph_mev_per_atom=3183 n_ef_per_ev_cell=7.49 spacegroup=Pm-3m pbc="T T T"
Hf 0.0000 0.0000 0.0000
Re 0.0000 0.0000 2.4073
Re 0.0000 2.4073 0.0000
Re 2.4073 0.0000 0.0000
H 2.4073 2.4073 2.4073

10
Lattice="5.7432 0.0000 0.0000 0.0000 5.7432 0.0000 0.0000 0.0000 4.8214" Properties=species:S:1:pos:R:3 comment="Hf2Re2H | Alexandria via LeMat-Bulk | GGA-PBE | relaxed" m_tot_mub_per_cell=0.00 e_above_lowest_polymorph_mev_per_atom=0 n_ef_per_ev_cell=9.36 spacegroup=P4/mbm pbc="T T T"
Hf 0.9940 1.8776 0.0000
Hf 1.8776 4.7492 0.0000
Hf 3.8656 0.9940 0.0000
Hf 4.7492 3.8656 0.0000
Re 0.8634 3.7350 2.4107
Re 2.0082 0.8634 2.4107
Re 3.7350 4.8798 2.4107
Re 4.8798 2.0082 2.4107
H 0.0000 0.0000 0.0000
H 2.8716 2.8716 0.0000

5
Lattice="3.2072 0.0000 0.0000 0.0000 3.2072 0.0000 0.0000 0.0000 6.3645" Properties=species:S:1:pos:R:3 comment="Hf2ReH2 | Alexandria via LeMat-Bulk | GGA-PBE | relaxed" m_tot_mub_per_cell=0.00 e_above_lowest_polymorph_mev_per_atom=182 n_ef_per_ev_cell=2.43 spacegroup=P4/mmm pbc="T T T"
Hf 0.0000 0.0000 1.5554
Hf 0.0000 0.0000 4.8091
Re 1.6036 1.6036 3.1822
H 0.0000 1.6036 0.0000
H 1.6036 0.0000 0.0000

5
Lattice="-1.7697 1.7697 7.3463 1.7697 -1.7697 7.3463 1.7697 1.7697 -7.3463" Properties=species:S:1:pos:R:3 comment="Hf2Re2H | Alexandria via LeMat-Bulk | GGA-PBE | relaxed" m_tot_mub_per_cell=0.00 e_above_lowest_polymorph_mev_per_atom=291 n_ef_per_ev_cell=3.24 spacegroup=I4/mmm pbc="T T T"
Hf 0.0000 0.0000 1.4260
Hf 0.0000 0.0000 13.2666
Re 1.7697 0.0000 3.6732
Re 0.0000 1.7697 3.6732
H 0.0000 0.0000 7.3463

5
Lattice="4.3279 0.0000 0.0000 0.0000 4.3279 0.0000 0.0000 0.0000 4.3279" Properties=species:S:1:pos:R:3 comment="Hf3ReH | Alexandria via LeMat-Bulk | GGA-PBE | relaxed" m_tot_mub_per_cell=0.00 e_above_lowest_polymorph_mev_per_atom=0 n_ef_per_ev_cell=5.17 spacegroup=Pm-3m pbc="T T T"
Hf 0.0000 0.0000 2.1639
Hf 0.0000 2.1639 0.0000
Hf 2.1639 0.0000 0.0000
Re 2.1639 2.1639 2.1639
H 0.0000 0.0000 0.0000

5
Lattice="-1.6387 1.6387 5.8073 1.6387 -1.6387 5.8073 1.6387 1.6387 -5.8073" Properties=species:S:1:pos:R:3 comment="Hf2ReH2 | Alexandria via LeMat-Bulk | GGA-PBE | relaxed" m_tot_mub_per_cell=0.00 e_above_lowest_polymorph_mev_per_atom=0 n_ef_per_ev_cell=1.20 spacegroup=I4/mmm pbc="T T T"
Hf 0.0000 0.0000 1.6007
Hf 0.0000 0.0000 10.0139
Re 0.0000 0.0000 5.8073
H 1.6387 0.0000 2.9037
H 0.0000 1.6387 2.9037

5
Lattice="5.0676 0.0000 0.0000 0.0000 5.0676 0.0000 0.0000 0.0000 5.0676" Properties=species:S:1:pos:R:3 comment="Hf3ReH | Alexandria via LeMat-Bulk | GGA-PBE | relaxed" m_tot_mub_per_cell=0.00 e_above_lowest_polymorph_mev_per_atom=1212 n_ef_per_ev_cell=6.04 spacegroup=Pm-3m pbc="T T T"
Hf 0.0000 0.0000 2.5338
Hf 0.0000 2.5338 0.0000
Hf 2.5338 0.0000 0.0000
Re 0.0000 0.0000 0.0000
H 2.5338 2.5338 2.5338

5
Lattice="4.0661 0.0000 0.0000 0.0000 4.0661 0.0000 0.0000 0.0000 4.0661" Properties=species:S:1:pos:R:3 comment="HfRe3H | Alexandria via LeMat-Bulk | GGA-PBE | relaxed" m_tot_mub_per_cell=0.00 e_above_lowest_polymorph_mev_per_atom=0 n_ef_per_ev_cell=4.54 spacegroup=Pm-3m pbc="T T T"
Hf 0.0000 0.0000 0.0000
Re 0.0000 2.0331 2.0331
Re 2.0331 0.0000 2.0331
Re 2.0331 2.0331 0.0000
H 2.0331 2.0331 2.0331

5
Lattice="3.9215 0.0000 0.0000 0.0000 3.9215 0.0000 0.0000 0.0000 4.3229" Properties=species:S:1:pos:R:3 comment="HfRe2HRh | Alexandria via LeMat-Bulk | GGA-PBE | relaxed" m_tot_mub_per_cell=0.00 n_ef_per_ev_cell=3.92 dft_energy_ev_per_atom=-9.2241 spacegroup=P4/mmm pbc="T T T"
Hf 0.0000 0.0000 0.0000
Re 0.0000 1.9608 2.1614
Re 1.9608 0.0000 2.1614
H 1.9608 1.9608 2.1614
Rh 1.9608 1.9608 0.0000

5
Lattice="3.9932 0.0000 0.0000 0.0000 3.9932 0.0000 0.0000 0.0000 4.0628" Properties=species:S:1:pos:R:3 comment="HfReHRh2 | Alexandria via LeMat-Bulk | GGA-PBE | relaxed" m_tot_mub_per_cell=0.00 n_ef_per_ev_cell=4.60 dft_energy_ev_per_atom=-8.4316 spacegroup=P4/mmm pbc="T T T"
Hf 0.0000 0.0000 0.0000
Re 1.9966 1.9966 0.0000
H 1.9966 1.9966 2.0314
Rh 0.0000 1.9966 2.0314
Rh 1.9966 0.0000 2.0314

5
Lattice="4.0301 0.0000 0.0000 0.0000 4.0301 0.0000 0.0000 0.0000 3.9890" Properties=species:S:1:pos:R:3 comment="HfReHRu2 | Alexandria via LeMat-Bulk | GGA-PBE | relaxed" m_tot_mub_per_cell=0.00 n_ef_per_ev_cell=5.44 dft_energy_ev_per_atom=-8.9690 spacegroup=P4/mmm pbc="T T T"
Hf 0.0000 0.0000 0.0000
Re 2.0150 2.0150 0.0000
H 2.0150 2.0150 1.9945
Ru 0.0000 2.0150 1.9945
Ru 2.0150 0.0000 1.9945

5
Lattice="4.5943 0.0000 0.0000 0.0000 4.5943 0.0000 0.0000 0.0000 3.4279" Properties=species:S:1:pos:R:3 comment="Hf2ReHRu | Alexandria via LeMat-Bulk | GGA-PBE | relaxed" m_tot_mub_per_cell=0.00 e_above_lowest_polymorph_mev_per_atom=0 n_ef_per_ev_cell=3.28 spacegroup=P4/mmm pbc="T T T"
Hf 0.0000 2.2971 0.0000
Hf 2.2971 0.0000 0.0000
Re 0.0000 0.0000 1.7140
H 2.2971 2.2971 0.0000
Ru 2.2971 2.2971 1.7140

5
Lattice="4.6237 0.0000 0.0000 0.0000 4.6237 0.0000 0.0000 0.0000 3.4065" Properties=species:S:1:pos:R:3 comment="Hf2ReHRu | Alexandria via LeMat-Bulk | GGA-PBE | relaxed" m_tot_mub_per_cell=0.00 e_above_lowest_polymorph_mev_per_atom=33 n_ef_per_ev_cell=1.10 spacegroup=P4/mmm pbc="T T T"
Hf 0.0000 2.3118 0.0000
Hf 2.3118 0.0000 0.0000
Re 0.0000 0.0000 1.7033
H 0.0000 0.0000 0.0000
Ru 2.3118 2.3118 1.7033

5
Lattice="4.8334 0.0000 0.0000 0.0000 4.8334 0.0000 0.0000 0.0000 3.4358" Properties=species:S:1:pos:R:3 comment="HfReHS2 | Alexandria via LeMat-Bulk | GGA-PBE | relaxed" m_tot_mub_per_cell=1.87 n_ef_per_ev_cell=3.33 dft_energy_ev_per_atom=-6.4221 spacegroup=P4/mmm pbc="T T T"
Hf 0.0000 0.0000 0.0000
Re 2.4167 2.4167 1.7179
H 0.0000 0.0000 1.7179
S 0.0000 2.4167 0.0000
S 2.4167 0.0000 0.0000

5
Lattice="4.6087 0.0000 0.0000 0.0000 4.6087 0.0000 0.0000 0.0000 3.5582" Properties=species:S:1:pos:R:3 comment="Hf2TiReH | Alexandria via LeMat-Bulk | GGA-PBE | relaxed" m_tot_mub_per_cell=0.93 n_ef_per_ev_cell=5.23 dft_energy_ev_per_atom=-8.9069 spacegroup=P4/mmm pbc="T T T"
Hf 0.0000 2.3044 0.0000
Hf 2.3044 0.0000 0.0000
Ti 0.0000 0.0000 1.7791
Re 2.3044 2.3044 1.7791
H 0.0000 0.0000 0.0000

5
Lattice="4.4985 0.0000 0.0000 0.0000 4.4985 0.0000 0.0000 0.0000 3.6684" Properties=species:S:1:pos:R:3 comment="Hf2ZnReH | Alexandria via LeMat-Bulk | GGA-PBE | relaxed" m_tot_mub_per_cell=0.00 n_ef_per_ev_cell=2.36 dft_energy_ev_per_atom=-7.6015 spacegroup=P4/mmm pbc="T T T"
Hf 0.0000 2.2493 0.0000
Hf 2.2493 0.0000 0.0000
Zn 0.0000 0.0000 1.8342
Re 2.2493 2.2493 1.8342
H 2.2493 2.2493 0.0000

9
Lattice="-2.8050 2.8050 3.9626 2.8050 -2.8050 3.9626 2.8050 2.8050 -3.9626" Properties=species:S:1:pos:R:3 comment="Hf2HRh6 | Alexandria via LeMat-Bulk | GGA-PBE | relaxed" m_tot_mub_per_cell=0.00 n_ef_per_ev_cell=5.65 dft_energy_ev_per_atom=-8.2111 spacegroup=I4/mmm pbc="T T T"
Hf 2.8050 0.0000 1.9813
Hf 0.0000 2.8050 1.9813
H 0.0000 0.0000 0.0000
Rh 0.0000 0.0000 1.9983
Rh 1.4142 1.4142 0.0000
Rh 1.3909 -1.3909 3.9626
Rh -1.3909 1.3909 3.9626
Rh 0.0000 0.0000 5.9269
Rh 1.3909 1.3909 3.9626

10
Lattice="1.5119 -5.7510 0.0000 1.5119 5.7510 0.0000 0.0000 0.0000 4.8285" Properties=species:S:1:pos:R:3 comment="HfH3Rh | Alexandria via LeMat-Bulk | GGA-PBE | relaxed" m_tot_mub_per_cell=0.00 n_ef_per_ev_cell=2.41 dft_energy_ev_per_atom=-5.8751 spacegroup=C222_1 pbc="T T T"
Hf 1.5119 3.9037 3.6214
Hf 1.5119 -3.9037 1.2071
H 0.0940 0.0000 0.0000
H 1.5121 2.1865 2.4944
H 1.5118 2.1865 4.7485
H 1.5118 -2.1865 0.0801
H 1.5121 -2.1865 2.3342
H 2.9298 0.0000 2.4143
Rh 1.5119 0.6936 3.6214
Rh 1.5119 -0.6936 1.2071

6
Lattice="3.2273 0.0000 0.0000 0.0000 3.2273 0.0000 0.0000 0.0000 7.3675" Properties=species:S:1:pos:R:3 comment="HfHRh | Alexandria via LeMat-Bulk | GGA-PBE | relaxed" m_tot_mub_per_cell=0.00 e_above_lowest_polymorph_mev_per_atom=0 n_ef_per_ev_cell=3.03 spacegroup=P4/nmm pbc="T T T"
Hf 0.8068 0.8068 1.3509
Hf 2.4205 2.4205 6.0166
H 0.8068 2.4205 0.0000
H 2.4205 0.8068 0.0000
Rh 0.8068 0.8068 4.6064
Rh 2.4205 2.4205 2.7611

5
Lattice="3.5241 0.0000 0.0000 0.0000 3.5241 0.0000 0.0000 0.0000 3.5241" Properties=species:S:1:pos:R:3 comment="HfH3Rh | Alexandria via LeMat-Bulk | GGA-PBE | relaxed" m_tot_mub_per_cell=0.00 n_ef_per_ev_cell=1.83 dft_energy_ev_per_atom=-5.7216 spacegroup=Pm-3m pbc="T T T"
Hf 0.0000 0.0000 0.0000
H 0.0000 1.7621 1.7621
H 1.7621 0.0000 1.7621
H 1.7621 1.7621 0.0000
Rh 1.7621 1.7621 1.7621

8
Lattice="-3.1449 3.1449 2.6265 3.1449 -3.1449 2.6265 3.1449 3.1449 -2.6265" Properties=species:S:1:pos:R:3 comment="HfHRh2 | Alexandria via LeMat-Bulk | GGA-PBE | relaxed" m_tot_mub_per_cell=0.00 e_above_lowest_polymorph_mev_per_atom=0 n_ef_per_ev_cell=4.01 spacegroup=I-42d pbc="T T T"
Hf 0.0000 0.0000 0.0000
Hf 0.0000 3.1449 1.3133
H 3.1449 0.0000 1.3133
H 0.0000 0.0000 2.6265
Rh 1.5724 -0.9278 1.9699
Rh 2.2171 1.5724 0.6566
Rh 1.5724 4.0727 -0.6566
Rh 0.9278 1.5724 3.2831

4
Lattice="0.0000 2.7350 2.7350 2.7350 0.0000 2.7350 2.7350 2.7350 0.0000" Properties=species:S:1:pos:R:3 comment="HfH2Rh | Alexandria via LeMat-Bulk | GGA-PBE | relaxed" m_tot_mub_per_cell=0.00 e_above_lowest_polymorph_mev_per_atom=385 n_ef_per_ev_cell=2.36 spacegroup=Fm-3m pbc="T T T"
Hf 0.0000 0.0000 0.0000
H 1.3675 1.3675 1.3675
H 4.1025 4.1025 4.1025
Rh 2.7350 2.7350 2.7350

4
Lattice="1.6166 0.9334 4.7207 -1.6166 0.9334 4.7207 0.0000 -1.8667 4.7207" Properties=species:S:1:pos:R:3 comment="HfH2Rh | Alexandria via LeMat-Bulk | GGA-PBE | relaxed" m_tot_mub_per_cell=0.00 e_above_lowest_polymorph_mev_per_atom=124 n_ef_per_ev_cell=1.81 spacegroup=R-3m pbc="T T T"
Hf 0.0000 0.0000 0.0000
H 0.0000 0.0000 5.3356
H 0.0000 0.0000 8.8266
Rh 0.0000 0.0000 7.0811